1.
Material: FeCu5
Method: DFT, PBE
State: optimized geometry

Unit cell a=4.714 b=4.714 c=4.144 alpha=90.00 beta=90.00 gamma=120.00
Each line ends with the local moment (μB).
Element x y z (fractional)
Cu 0.000 0.500 0.500  0.00
Cu 0.500 0.000 0.500  0.00
Cu 0.333 0.667 0.000  0.05
Cu 0.500 0.500 0.500  0.00
Fe 0.000 0.000 0.000  3.16
Cu 0.667 0.333 0.000  0.05

## Properties
SG: No. 191
total magnetization: 3.240 Bohr magnetons per cell
energy of formation from the pure elements: 1.99 eV/f.u.
total energy: -26.95 eV/f.u.

2.
Material: Zn3HgO
Method: DFT, PBE
State: optimized geometry

Unit cell a=4.989 b=4.989 c=4.989 alpha=90.00 beta=90.00 gamma=90.00
Element x y z (fractional)
Zn 0.000 0.500 0.000
O 0.500 0.500 0.500
Hg 0.000 0.000 0.000
Zn 0.000 0.000 0.500
Zn 0.500 0.000 0.000

## Properties
SG: No. 221
energy above the most stable polymorph in this dataset: 860 meV/atom
total magnetization: 0.000 Bohr magnetons per cell
total energy: -5.44 eV/f.u.
uncorrected formation energy: 0.73 eV/atom